No. 1
Compound: Sr5InHg2
Source: Alexandria via LeMat-Bulk
Functional: PBE
Structure: optimized geometry

The space group is I4/mcm (No. 140) and the conventional cell measures 8.761, 8.761 and 15.983 Å, with angles of 90.00, 90.00 and 90.00 degrees. The inequivalent atoms are Sr at (0.000, 0.000, 0.000), Sr at (0.169, 0.331, 0.146), In at (0.000, 0.000, 0.250) and Hg at (0.127, 0.373, 0.500).

The value obtained for the uncorrected energy is -1.861 eV per atom. As for the formation enthalpy at 0 K: -37.9 kJ/mol of atoms.

***

No. 2
Compound: SrIn6Hg12
Source: Alexandria via LeMat-Bulk
Functional: PBE
Structure: optimized geometry

The space group is R-3m (No. 166, hexagonal axes) and the conventional cell measures 13.8667, 13.8667 and 9.7485 Å, with angles of 90.00, 90.00 and 120.00 degrees. The inequivalent atoms are Sr at (0.0000, 0.0000, 0.0000), In at (0.0516, 0.5258, 0.2243), Hg at (0.0000, 0.3909, 0.5000) and Hg at (0.0785, 0.1571, 0.2871).

The value obtained for the uncorrected energy is -1.183 eV per atom. The polymorph energy (0 for the lowest one) comes out at 0.049 eV per atom. As for the formation enthalpy at 0 K: -3.7 kJ/mol of atoms.